Entry 1:
Here is a relaxed structure of MnCr2P from Alexandria via LeMat-Bulk. Energies are from PBE.

Its energy of formation from the pure elements is -0.177 eV/atom. Its calculated volume is 176 Å³ per cell. Its total energy is -34.53 eV/f.u.

The space group is F-43m (No. 216) and the conventional cell measures 5.6061, 5.6061 and 5.6061 Å, with angles of 90.00, 90.00 and 90.00 degrees. Symmetry generates all atoms from Mn at (0.0000, 0.0000, 0.0000), Cr at (0.0000, 0.0000, 0.5000), Cr at (0.2500, 0.2500, 0.2500) and P at (0.2500, 0.2500, 0.7500).

=====

Entry 2:
Here is a relaxed structure of IrPdF3 from Alexandria via LeMat-Bulk. Energies are from PBE.

Its calculated volume is 76 Å³ per cell. Its total energy is -19.00 eV/f.u. Its raw formation energy is 0.7 eV/f.u.

The space group is Pm-3m (No. 221) and the conventional cell measures 4.2432, 4.2432 and 4.2432 Å, with angles of 90.00, 90.00 and 90.00 degrees. Symmetry generates all atoms from Ir at (0.0000, 0.0000, 0.0000), Pd at (0.5000, 0.5000, 0.5000) and F at (0.0000, 0.5000, 0.5000).

=====

Entry 3:
Here is a relaxed structure of KSrY2 from Alexandria via LeMat-Bulk. Energies are from PBE.

Its energy of formation from the pure elements is 0.483 eV/atom. Its calculated volume is 660 Å³ per cell. Its total energy is -13.78 eV/f.u.

The space group is F-43m (No. 216) and the conventional cell measures 8.7045, 8.7045 and 8.7045 Å, with angles of 90.00, 90.00 and 90.00 degrees. Symmetry generates all atoms from K at (0.0000, 0.0000, 0.0000), Sr at (0.2500, 0.2500, 0.2500), Y at (0.0000, 0.0000, 0.5000) and Y at (0.2500, 0.2500, 0.7500).

=====

Entry 4:
Here is a relaxed structure of Y3SiTe2 from Alexandria via LeMat-Bulk. Energies are from PBE.

Its calculated volume is 674 Å³ per cell. Its total energy is -38.51 eV/f.u. Its raw formation energy is -7.4 eV/f.u.

The space group is C2/c (No. 15) and the conventional cell measures 7.5419, 12.8431 and 7.3885 Å, with angles of 90.00, 109.66 and 90.00 degrees. Symmetry generates all atoms from Y at (0.2141, 0.0728, 0.4942), Y at (0.2500, 0.2500, 0.0000), Si at (0.0000, 0.0901, 0.7500), Te at (0.0000, 0.2597, 0.2500) and Te at (0.0000, 0.4193, 0.7500).

=====

Entry 5:
Here is a relaxed structure of CrGeSeN2 from Alexandria via LeMat-Bulk. Energies are from PBE.

Its calculated volume is 72 Å³ per cell. Its total energy is -31.88 eV/f.u. Its raw formation energy is 2.5 eV/f.u.

The space group is P4/mmm (No. 123) and the conventional cell measures 3.7312, 3.7312 and 5.1720 Å, with angles of 90.00, 90.00 and 90.00 degrees. Symmetry generates all atoms from Cr at (0.0000, 0.0000, 0.0000), Ge at (0.5000, 0.5000, 0.5000), Se at (0.0000, 0.0000, 0.5000) and N at (0.0000, 0.5000, 0.0000).

=====

Entry 6:
Here is a relaxed structure of VNi5H7 from Alexandria via LeMat-Bulk. Energies are from PBE.

Its calculated volume is 167 Å³ per cell. Its total energy is -62.37 eV/f.u.

The space group is P2_1/m (No. 11) and the conventional cell measures 2.6556, 14.3995 and 4.5679 Å, with angles of 90.00, 106.88 and 90.00 degrees. Symmetry generates all atoms from V at (0.1934, 0.2500, 0.3827), Ni at (0.0000, 0.0000, 0.0000), Ni at (0.2756, 0.5808, 0.5528), Ni at (0.4527, 0.1544, 0.9047), H at (0.0907, 0.1153, 0.1791), H at (0.1822, 0.6828, 0.3673), H at (0.3642, 0.0334, 0.7300) and H at (0.4501, 0.7500, 0.9038).

=====

Entry 7:
Here is a relaxed structure of Eu3Hg5O12 from Alexandria via LeMat-Bulk. Energies are from PBE.

Its calculated volume is 2483 Å³ per cell. Its total energy is -110.53 eV/f.u. Its raw formation energy is -18.7 eV/f.u.

The space group is Ia-3d (No. 230) and the conventional cell measures 13.5418, 13.5418 and 13.5418 Å, with angles of 90.00, 90.00 and 90.00 degrees. Symmetry generates all atoms from Eu at (0.0000, 0.2500, 0.1250), Hg at (0.0000, 0.0000, 0.0000), Hg at (0.0000, 0.2500, 0.3750) and O at (0.0135, 0.0671, 0.6523).

=====

Entry 8:
Here is a relaxed structure of Tm5PbSe4 from Alexandria via LeMat-Bulk. Energies are from PBE.

Its calculated volume is 489 Å³ per cell. Its total energy is -54.22 eV/f.u. Its raw formation energy is -14.2 eV/f.u.

The space group is I4/m (No. 87) and the conventional cell measures 9.1769, 9.1769 and 5.8066 Å, with angles of 90.00, 90.00 and 90.00 degrees. Symmetry generates all atoms from Tm at (0.0000, 0.0000, 0.0000), Tm at (0.1012, 0.6907, 0.5000), Pb at (0.0000, 0.0000, 0.5000) and Se at (0.1038, 0.7001, 0.0000).

=====

Entry 9:
Here is a relaxed structure of Ho5ErTmIn2 from Alexandria via LeMat-Bulk. Energies are from PBE.

Its energy of formation from the pure elements is 0.015 eV/atom. Its calculated volume is 1108 Å³ per cell. Its total energy is -37.26 eV/f.u.

The space group is I4/mcm (No. 140) and the conventional cell measures 7.5902, 7.5902 and 19.2376 Å, with angles of 90.00, 90.00 and 90.00 degrees. Symmetry generates all atoms from Ho at (0.0000, 0.0000, 0.0000), Ho at (0.2023, 0.2977, 0.1249), Er at (0.0000, 0.0000, 0.2500), Tm at (0.0000, 0.5000, 0.2500) and In at (0.1240, 0.3760, 0.5000).

=====

Entry 10:
Here is a relaxed structure of LuZrFe from Alexandria via LeMat-Bulk. Energies are from PBE.

Its energy of formation from the pure elements is -0.015 eV/atom. Its calculated volume is 122 Å³ per cell. Its total energy is -21.58 eV/f.u.

The space group is I4mm (No. 107) and the conventional cell measures 3.2717, 3.2717 and 11.4077 Å, with angles of 90.00, 90.00 and 90.00 degrees. Symmetry generates all atoms from Lu at (0.0000, 0.0000, 0.0000), Zr at (0.0000, 0.0000, 0.2726) and Fe at (0.0000, 0.0000, 0.6549).

=====

Entry 11:
Here is a relaxed structure of LiLaAs2Rh5 from Alexandria via LeMat-Bulk. Energies are from PBE.

Its energy of formation from the pure elements is -0.497 eV/atom. Its calculated volume is 159 Å³ per cell. Its total energy is -57.37 eV/f.u.

The space group is P4/mmm (No. 123) and the conventional cell measures 4.1748, 4.1748 and 9.1126 Å, with angles of 90.00, 90.00 and 90.00 degrees. Symmetry generates all atoms from Li at (0.0000, 0.0000, 0.0000), La at (0.0000, 0.0000, 0.5000), As at (0.5000, 0.5000, 0.1385), Rh at (0.0000, 0.5000, 0.2640) and Rh at (0.5000, 0.5000, 0.5000).